Below is a relaxed structure of ErMgAl2, with properties calculated at the PBE level.

Calculated formation energy: -320 meV per atom
SG: No. 123
V: 82.3 Å³/cell
N(E_F): 2.064 states/eV/cell

a b c (Å): 4.302 4.374 4.374
angles (deg): 90.00 90.00 90.00
Positions (direct):
Mg 0.500 0.000 0.000
Al 0.000 0.000 0.500
Al 0.000 0.500 0.000
Er 0.500 0.500 0.500